VASP calculation (PBE-GGA) on a geometry-optimized GdCuSbP structure.

Unit cell a=4.029 b=4.029 c=10.203 alpha=90.00 beta=90.00 gamma=90.00
Space group P4/nmm (No. 129, origin choice 2)
One atom of each set of equivalent atoms:
Gd 0.250 0.250 0.209 (multiplicity 2)
Cu 0.250 0.750 0.500 (multiplicity 2)
Sb 0.250 0.250 0.666 (multiplicity 2)
P 0.250 0.750 0.000 (multiplicity 2)

## Properties
Total moment ... 0.005 μB/cell
Mass density ... 7488 kg/m³
E above lowest polymorph ... 120.1 meV per atom

=====

VASP calculation (PBE-GGA) on a geometry-optimized NaTbGeS3 structure.

Unit cell a=4.202 b=13.169 c=10.774 alpha=90.00 beta=90.00 gamma=90.00
Space group Cmcm (No. 63)
One atom of each set of equivalent atoms:
Na 0.000 0.239 0.250 (multiplicity 4)
Tb 0.000 0.500 0.000 (multiplicity 4)
Ge 0.000 0.032 0.750 (multiplicity 4)
S 0.000 0.134 0.554 (multiplicity 8)
S 0.000 0.421 0.750 (multiplicity 4)

## Properties
Total DFT energy (no corrections) ... -4.862 eV/atom
Total moment ... 0.008 μB/cell
Mass density ... 3908 kg/m³

=====

VASP calculation (PBE-GGA) on a geometry-optimized Mg3NiN structure.

Unit cell a=4.167 b=4.167 c=4.167 alpha=90.00 beta=90.00 gamma=90.00
Space group Pm-3m (No. 221)
One atom of each set of equivalent atoms:
Mg 0.000 0.000 0.500 (multiplicity 3)
Ni 0.500 0.500 0.500 (multiplicity 1)
N 0.000 0.000 0.000 (multiplicity 1)

## Properties
Total DFT energy (no corrections) ... -3.957 eV/atom
Total moment ... 0.001 μB/cell
Mass density ... 3343 kg/m³

=====

VASP calculation (PBE-GGA) on a geometry-optimized LiGePbAu structure.

Unit cell a=6.898 b=6.898 c=6.898 alpha=90.00 beta=90.00 gamma=90.00
Space group F-43m (No. 216)
One atom of each set of equivalent atoms:
Li 0.000 0.000 0.000 (multiplicity 4)
Ge 0.250 0.250 0.750 (multiplicity 4)
Pb 0.250 0.250 0.250 (multiplicity 4)
Au 0.000 0.000 0.500 (multiplicity 4)

## Properties
Mass density ... 9791 kg/m³
E above lowest polymorph ... 0.0 meV per atom

=====

VASP calculation (PBE-GGA) on a geometry-optimized PmPPdO structure.

Unit cell a=3.390 b=6.573 c=6.123 alpha=90.00 beta=90.00 gamma=90.00
Space group Pmc2_1 (No. 26)
One atom of each set of equivalent atoms:
Pm 0.000 0.120 0.000 (multiplicity 2)
P 0.000 0.500 0.250 (multiplicity 2)
Pd 0.500 0.382 0.499 (multiplicity 2)
O 0.500 0.001 0.250 (multiplicity 2)

## Properties
Total moment ... 0.006 μB/cell
Mass density ... 7263 kg/m³
E above lowest polymorph ... 367.5 meV per atom

=====

VASP calculation (PBE-GGA) on a geometry-optimized Lu4InNiC2 structure.

Unit cell a=3.5124 b=3.5124 c=14.4711 alpha=90.00 beta=90.00 gamma=120.00
Space group P-6m2 (No. 187)
One atom of each set of equivalent atoms:
Lu 0.0000 0.0000 0.1338 (multiplicity 2)
Lu 0.6667 0.3333 0.3146 (multiplicity 2)
In 0.0000 0.0000 0.5000 (multiplicity 1)
Ni 0.6667 0.3333 0.0000 (multiplicity 1)
C 0.3333 0.6667 0.2263 (multiplicity 2)

## Properties
Total DFT energy (no corrections) ... -5.978 eV/atom
Total moment ... 0.026 μB/cell
Mass density ... 9638 kg/m³

=====

> Which value of mass density does entry 1 give?

7488 kg/m³